The following is a PBE-GGA calculation of Ta2AgPb after structural relaxation, from the Alexandria database.

Output
- E_tot (eV per atom) = -7.07
- DFT formation energy (eV per formula unit) = 2.0

```
4
Lattice="-2.4686 -2.5315 -3.9616 -1.2248 -4.6629 -2.2260 -4.7083 -0.8964 2.2732" Properties=species:S:1:pos:R:3 pbc="T T T"
Ta -6.3779 -6.0240 -2.8266
Ta -4.5869 -0.9591 2.1093
Ag -4.1601 -3.9838 -1.9108
Pb -2.1855 -2.0657 -0.9704
```